[1]
DFT (GGA-PBE) results for crystalline La2PmBi at its relaxed geometry.

```
La2PmBi
1.0
-4.867 0.125 1.526
-0.994 -4.000 -2.841
1.127 -3.007 3.840
La Pm Bi
2 1 1
direct
0.000 0.000 0.500 La
0.000 0.500 0.000 La
0.500 0.500 0.500 Pm
0.500 0.000 0.000 Bi
```

## Properties
Space group: P4/mmm, No. 123
ΔE_f, meV/atom: -486

=====

[2]
DFT (GGA-PBE) results for crystalline Be2Al4Ir at its relaxed geometry.

```
Be2Al4Ir
1.0
-2.739 -1.133 -3.729
1.831 -4.397 -0.009
-4.640 -4.515 1.738
Be Ir Al
2 1 4
direct
0.592 0.592 0.815 Be
0.408 0.408 0.185 Be
0.000 0.000 0.000 Ir
0.792 0.792 0.416 Al
0.000 0.500 0.000 Al
0.208 0.208 0.584 Al
0.500 0.000 0.000 Al
```

## Properties
Space group: I4/mmm, No. 139
ΔE_f, meV/atom: 306

=====

[3]
DFT (GGA-PBE) results for crystalline Tb4Hg2Rh at its relaxed geometry.

```
Tb4Hg2Rh
1.0
3.990 0.000 0.000
0.000 7.985 0.000
0.000 0.000 12.746
Tb Hg Rh
8 4 2
direct
0.500 0.773 0.552 Tb
0.000 0.127 0.696 Tb
0.500 0.727 0.052 Tb
0.500 0.273 0.948 Tb
0.500 0.227 0.448 Tb
0.000 0.873 0.304 Tb
0.000 0.627 0.804 Tb
0.000 0.373 0.196 Tb
0.500 0.420 0.668 Hg
0.500 0.080 0.168 Hg
0.500 0.920 0.832 Hg
0.500 0.580 0.332 Hg
0.000 0.500 0.000 Rh
0.000 0.000 0.500 Rh
```

## Properties
Space group: Pbam, No. 55
ΔE_f, meV/atom: -450

=====

[4]
DFT (GGA-PBE) results for crystalline TbPuInGe at its relaxed geometry.

```
TbPuInGe
1.0
-0.425 -4.046 -3.257
2.869 -0.158 -4.347
3.904 -3.426 -0.422
Tb Ge In Pu
1 1 1 1
direct
0.000 0.000 0.000 Tb
0.250 0.250 0.250 Ge
0.750 0.750 0.750 In
0.500 0.500 0.500 Pu
```

## Properties
Space group: F-43m, No. 216
ΔE_f, meV/atom: -336

=====

| no. | uncorrected energy (eV per atom) |
| --- | --- |
| 1 | -5.108 |
| 2 | -4.163 |
| 3 | -4.233 |
| 4 | -6.915 |